(1)
# NdAlCu2Ni2 | the Alexandria database | GGA-PBE | relaxed
# **DOS(E_F)**: 6.3 states/eV/f.u.
# **Magnetization**: 0.00 μB/atom
# **Calculated formation energy**: 0.137 eV/atom
data_NdAlCu2Ni2
_chemical_formula_sum 'Nd1 Al1 Cu2 Ni2'
_symmetry_space_group_name_H-M 'P 4/m m m'
_symmetry_Int_Tables_number 123
_symmetry_space_group_name_Hall '-P 4 2'
_cell_length_a 4.319
_cell_length_b 4.319
_cell_length_c 5.654
_cell_angle_alpha 90.00
_cell_angle_beta 90.00
_cell_angle_gamma 90.00
loop_
_atom_site_label
_atom_site_type_symbol
_atom_site_fract_x
_atom_site_fract_y
_atom_site_fract_z
Nd1 Nd 0.000 0.000 0.000
Al1 Al 0.000 0.000 0.500
Cu1 Cu 0.500 0.500 0.255
Ni1 Ni 0.000 0.500 0.500



(2)
# NaSr3B2O6 | the Alexandria database | GGA-PBE | relaxed
# **DOS(E_F)**: 1.1 states/eV/f.u.
# **Uncorrected formation energy**: -2.491 eV per atom
# **Magnetization**: 0.00 μB/atom
data_NaSr3B2O6
_chemical_formula_sum 'Na1 Sr3 B2 O6'
_symmetry_space_group_name_H-M 'P -3 m 1'
_symmetry_Int_Tables_number 164
_symmetry_space_group_name_Hall '-P 3 2"'
_cell_length_a 5.4150
_cell_length_b 5.4150
_cell_length_c 7.0451
_cell_angle_alpha 90.00
_cell_angle_beta 90.00
_cell_angle_gamma 120.00
loop_
_atom_site_label
_atom_site_type_symbol
_atom_site_fract_x
_atom_site_fract_y
_atom_site_fract_z
Na1 Na 0.0000 0.0000 0.0000
Sr1 Sr 0.0000 0.0000 0.5000
Sr2 Sr 0.3333 0.6667 0.1938
B1 B 0.3333 0.6667 0.7661
O1 O 0.1852 0.3703 0.7766



(3)
# LiHo6Tl2 | the Alexandria database | GGA-PBE | relaxed
# **DOS(E_F)**: 11.6 states/eV/f.u.
# **Magnetization**: 0.00 μB/atom
# **Calculated formation energy**: 0.158 eV/atom
data_LiHo6Tl2
_chemical_formula_sum 'Li2 Ho12 Tl4'
_symmetry_space_group_name_H-M 'C 1 2/m 1'
_symmetry_Int_Tables_number 12
_symmetry_space_group_name_Hall '-C 2y'
_cell_length_a 16.170
_cell_length_b 7.312
_cell_length_c 5.063
_cell_angle_alpha 90.00
_cell_angle_beta 108.17
_cell_angle_gamma 90.00
loop_
_atom_site_label
_atom_site_type_symbol
_atom_site_fract_x
_atom_site_fract_y
_atom_site_fract_z
Li1 Li 0.000 0.000 0.000
Ho1 Ho 0.000 0.244 0.500
Ho2 Ho 0.163 0.245 0.163
Tl1 Tl 0.167 0.500 0.667



(4)
# CaLa2PrBi4 | the Alexandria database | GGA-PBE | relaxed
# **DOS(E_F)**: 5.3 states/eV/f.u.
# **Magnetization**: 0.00 μB/atom
# **Calculated formation energy**: -0.911 eV/atom
data_CaLa2PrBi4
_chemical_formula_sum 'Ca1 La2 Pr1 Bi4'
_symmetry_space_group_name_H-M 'P 1 2/m 1'
_symmetry_Int_Tables_number 10
_symmetry_space_group_name_Hall '-P 2y'
_cell_length_a 8.043
_cell_length_b 4.692
_cell_length_c 8.135
_cell_angle_alpha 90.00
_cell_angle_beta 109.68
_cell_angle_gamma 90.00
loop_
_atom_site_label
_atom_site_type_symbol
_atom_site_fract_x
_atom_site_fract_y
_atom_site_fract_z
Ca1 Ca 0.000 0.000 0.000
La1 La 0.500 0.000 0.500
La2 La 0.500 0.500 0.000
Pr1 Pr 0.000 0.500 0.500
Bi1 Bi 0.247 0.000 0.749
Bi2 Bi 0.248 0.500 0.250



(5)
# TcPb2Br | the Alexandria database | GGA-PBE | relaxed
# **DOS(E_F)**: 2.8 states/eV/f.u.
# **Energy relative to the lowest polymorph listed for this composition**: 0.033 eV/atom
# **Uncorrected formation energy**: 0.320 eV per atom
# **Magnetization**: 0.00 μB/atom
data_TcPb2Br
_chemical_formula_sum 'Tc2 Pb4 Br2'
_symmetry_space_group_name_H-M 'C 1 2/m 1'
_symmetry_Int_Tables_number 12
_symmetry_space_group_name_Hall '-C 2y'
_cell_length_a 6.274
_cell_length_b 3.624
_cell_length_c 9.015
_cell_angle_alpha 90.00
_cell_angle_beta 103.54
_cell_angle_gamma 90.00
loop_
_atom_site_label
_atom_site_type_symbol
_atom_site_fract_x
_atom_site_fract_y
_atom_site_fract_z
Tc1 Tc 0.000 0.000 0.000
Pb1 Pb 0.239 0.500 0.216
Br1 Br 0.000 0.500 0.500



(6)
# CaNd6Dy2Y3 | the Alexandria database | GGA-PBE | relaxed
# **DOS(E_F)**: 13.5 states/eV/f.u.
# **Magnetization**: 0.00 μB/atom
# **Calculated formation energy**: 0.029 eV/atom
data_CaNd6Dy2Y3
_chemical_formula_sum 'Ca2 Nd12 Dy4 Y6'
_symmetry_space_group_name_H-M 'C 1 2/m 1'
_symmetry_Int_Tables_number 12
_symmetry_space_group_name_Hall '-C 2y'
_cell_length_a 6.329
_cell_length_b 10.960
_cell_length_c 11.955
_cell_angle_alpha 90.00
_cell_angle_beta 100.11
_cell_angle_gamma 90.00
loop_
_atom_site_label
_atom_site_type_symbol
_atom_site_fract_x
_atom_site_fract_y
_atom_site_fract_z
Ca1 Ca 0.000 0.000 0.000
Nd1 Nd 0.244 0.500 0.253
Nd2 Nd 0.245 0.330 0.748
Dy1 Dy 0.000 0.333 0.000
Y1 Y 0.000 0.166 0.500
Y2 Y 0.000 0.500 0.500



(7)
# BaCd2Cl | the Alexandria database | GGA-PBE | relaxed
# **DOS(E_F)**: 2.4 states/eV/f.u.
# **Energy relative to the lowest polymorph listed for this composition**: 0.017 eV/atom
# **Uncorrected formation energy**: -0.839 eV per atom
# **Magnetization**: 0.00 μB/atom
data_BaCd2Cl
_chemical_formula_sum 'Ba2 Cd4 Cl2'
_symmetry_space_group_name_H-M 'C 1 m 1'
_symmetry_Int_Tables_number 8
_symmetry_space_group_name_Hall 'C -2y'
_cell_length_a 8.688
_cell_length_b 5.021
_cell_length_c 6.791
_cell_angle_alpha 90.00
_cell_angle_beta 95.40
_cell_angle_gamma 90.00
loop_
_atom_site_label
_atom_site_type_symbol
_atom_site_fract_x
_atom_site_fract_y
_atom_site_fract_z
Ba1 Ba 0.000 0.000 0.000
Cd1 Cd 0.193 0.500 0.363
Cd2 Cd 0.357 0.000 0.332
Cl1 Cl 0.154 0.500 0.825



(8)
# Pu2Be3Si4Pt | the Alexandria database | GGA-PBE | relaxed
# **DOS(E_F)**: 17.8 states/eV/f.u.
# **Uncorrected formation energy**: -0.468 eV per atom
# **Magnetization**: 1.06 μB/atom
data_Pu2Be3Si4Pt
_chemical_formula_sum 'Pu2 Be3 Si4 Pt1'
_symmetry_space_group_name_H-M 'P -4 m 2'
_symmetry_Int_Tables_number 115
_symmetry_space_group_name_Hall 'P -4 -2'
_cell_length_a 3.924
_cell_length_b 3.924
_cell_length_c 9.785
_cell_angle_alpha 90.00
_cell_angle_beta 90.00
_cell_angle_gamma 90.00
loop_
_atom_site_label
_atom_site_type_symbol
_atom_site_fract_x
_atom_site_fract_y
_atom_site_fract_z
Pu1 Pu 0.000 0.500 0.235
Be1 Be 0.000 0.500 0.873
Be2 Be 0.500 0.500 0.500
Si1 Si 0.000 0.000 0.000
Si2 Si 0.000 0.500 0.644
Si3 Si 0.500 0.500 0.000
Pt1 Pt 0.000 0.000 0.500